1.
Material: CrMoRu2
Method: DFT, PBE
State: relaxed

Cell lengths 2.7645, 2.7645, 7.2879 Å; angles 90.00, 90.00, 90.00 degrees
Closest atoms and distances in Å follow each position.
Sites, in units of the cell vectors:
Cr1 0.5000 0.5000 0.2500  8 Ru 2.56, 4 Cr 2.76
Mo1 0.5000 0.5000 0.7500  4 Mo 2.76, 8 Ru 2.79
Ru1 0.0000 0.0000 0.0226  4 Cr 2.56, 4 Ru 2.76, 4 Mo 2.79
Ru2 0.0000 0.0000 0.4774  4 Cr 2.56, 4 Ru 2.76, 4 Mo 2.79

Summary:
Volume ... 13.9 Å³/atom
Symmetry ... P4/mmm
Fermi-level density of states ... 5.7 states/eV/cell


2.
Material: CrMo2Ru
Method: DFT, PBE
State: relaxed

Cell lengths 4.2406, 2.7085, 5.1372 Å; angles 78.71, 90.00, 90.00 degrees
Closest atoms and distances in Å follow each position.
Sites, in units of the cell vectors:
Cr1 0.5000 0.7500 0.7500  4 Mo 2.59, 2 Ru 2.66, 2 Cr 2.71
Mo1 0.0000 0.9714 0.9927  2 Cr 2.59, 4 Mo 2.65-2.71, 2 Ru 2.68
Mo2 0.0000 0.5286 0.5073  2 Cr 2.59, 4 Mo 2.65-2.71, 2 Ru 2.68
Ru1 0.5000 0.2500 0.2500  2 Cr 2.66, 4 Mo 2.68, 2 Ru 2.71

Summary:
Volume ... 14.5 Å³/atom
Symmetry ... P2/m
Fermi-level density of states ... 4.7 states/eV/cell


3.
Material: CrMo2Ru
Method: DFT, PBE
State: relaxed

Cell lengths 4.6608, 4.6608, 2.7985 Å; angles 90.00, 90.00, 106.83 degrees
Closest atoms and distances in Å follow each position.
Sites, in units of the cell vectors:
Cr1 0.0000 0.5000 0.5000  8 Mo 2.72, 2 Ru 2.78, 2 Cr 2.80
Mo1 0.0000 0.0000 0.0000  4 Ru 2.72, 4 Cr 2.72, 4 Mo 2.78-2.80
Mo2 0.5000 0.5000 0.0000  4 Cr 2.72, 4 Ru 2.72, 4 Mo 2.78-2.80
Ru1 0.5000 0.0000 0.5000  8 Mo 2.72, 2 Cr 2.78, 2 Ru 2.80

Summary:
Volume ... 14.5 Å³/atom
Symmetry ... Cmmm
Fermi-level density of states ... 4.9 states/eV/cell


4.
Material: CrMoRu2
Method: DFT, PBE
State: relaxed

Cell lengths 2.7363, 3.7394, 5.4652 Å; angles 90.00, 90.00, 90.00 degrees
Closest atoms and distances in Å follow each position.
Sites, in units of the cell vectors:
Cr1 0.5000 0.5000 0.2500  8 Ru 2.66, 2 Mo 2.73, 2 Cr 2.74
Mo1 0.5000 0.5000 0.7500  8 Ru 2.73, 2 Cr 2.73, 2 Mo 2.74
Ru1 0.0000 0.0000 0.0125  4 Ru 2.60-2.87, 4 Cr 2.66, 4 Mo 2.73
Ru2 0.0000 0.0000 0.4875  4 Ru 2.60-2.87, 4 Cr 2.66, 4 Mo 2.73

Summary:
Volume ... 14.0 Å³/atom
Symmetry ... Pmmm
Fermi-level density of states ... 4.9 states/eV/cell


5.
Material: CrMo2Ru
Method: DFT, PBE
State: relaxed

Cell lengths 4.3922, 4.3922, 3.0060 Å; angles 90.00, 90.00, 90.00 degrees
Closest atoms and distances in Å follow each position.
Sites, in units of the cell vectors:
Cr1 0.0000 0.5000 0.5000  8 Mo 2.66
Mo1 0.0000 0.0000 0.0000  4 Ru 2.66, 4 Cr 2.66
Mo2 0.5000 0.5000 0.0000  4 Cr 2.66, 4 Ru 2.66
Ru1 0.5000 0.0000 0.5000  8 Mo 2.66

Summary:
Volume ... 14.5 Å³/atom
Symmetry ... P4/mmm
Fermi-level density of states ... 5.2 states/eV/cell


6.
Material: CrMo2Ru
Method: DFT, PBE
State: relaxed

Cell lengths 5.0574, 5.0574, 5.0574 Å; angles 144.69, 128.71, 63.81 degrees
Closest atoms and distances in Å follow each position.
Sites, in units of the cell vectors:
Cr1 0.2500 0.7500 0.5000  4 Mo 2.54, 4 Ru 2.67
Mo1 0.0137 0.0137 0.0000  2 Cr 2.54, 4 Mo 2.68, 2 Ru 2.73
Mo2 0.4863 0.4863 0.0000  2 Cr 2.54, 4 Mo 2.68, 2 Ru 2.73
Ru1 0.7500 0.2500 0.5000  4 Cr 2.67, 8 Mo 2.73-2.98

Summary:
Volume ... 14.4 Å³/atom
Symmetry ... Immm
Fermi-level density of states ... 4.5 states/eV/cell


no.,energy above the most stable polymorph in this dataset (meV/atom),formation energy from the elements (eV/atom),energy (eV per cell)
1,0,0.0822,-38.68
2,28,0.1467,-39.97
3,119,0.2379,-39.61
4,21,0.1029,-38.59
5,75,0.1935,-39.79
6,0,0.1189,-40.09